(1)
# RbRh

RbRh after structural relaxation (PBE-GGA, Alexandria via LeMat-Bulk).

Cell and atoms, written as CIF:
```
data_RbRh
_space_group_name_H-M_alt 'A m m 2'
_space_group_IT_number 38
_space_group_name_Hall 'A 2 -2'
_cell_length_a 5.4910
_cell_length_b 11.4106
_cell_length_c 5.5140
_cell_angle_alpha 90.00
_cell_angle_beta 90.00
_cell_angle_gamma 90.00
loop_
_atom_site_label
_atom_site_type_symbol
_atom_site_fract_x
_atom_site_fract_y
_atom_site_fract_z
Rb1 Rb 0.0000 0.0000 0.0000
Rb2 Rb 0.0000 0.1590 0.5211
Rh1 Rh 0.5000 0.0000 0.3050
Rh2 Rh 0.5000 0.2120 0.1961
```

Output
Size of the total moment   4.41 μB per cell
DFT formation energy   0.840 eV per atom
DFT total energy   -3.3192 eV/atom



(2)
# Cd4HgPt5

Cd4HgPt5 after structural relaxation (PBE-GGA, Alexandria via LeMat-Bulk).

Cell and atoms, written as CIF:
```
data_Cd4HgPt5
_space_group_name_H-M_alt 'P 4/m m m'
_space_group_IT_number 123
_space_group_name_Hall '-P 4 2'
_cell_length_a 3.0151
_cell_length_b 3.0151
_cell_length_c 19.4273
_cell_angle_alpha 90.00
_cell_angle_beta 90.00
_cell_angle_gamma 90.00
loop_
_atom_site_label
_atom_site_type_symbol
_atom_site_fract_x
_atom_site_fract_y
_atom_site_fract_z
Cd1 Cd 0.0000 0.0000 0.0993
Cd2 Cd 0.0000 0.0000 0.2986
Hg1 Hg 0.0000 0.0000 0.5000
Pt1 Pt 0.5000 0.5000 0.0000
Pt2 Pt 0.5000 0.5000 0.1989
Pt3 Pt 0.5000 0.5000 0.3977
```

Output
Size of the total moment   0.00 μB per cell
DFT formation energy   -0.249 eV per atom
DFT total energy   -3.6654 eV/atom



(3)
# LaAs2Pb

LaAs2Pb after structural relaxation (PBE-GGA, Alexandria via LeMat-Bulk).

Cell and atoms, written as CIF:
```
data_LaAs2Pb
_space_group_name_H-M_alt 'R 3 m'
_space_group_IT_number 160
_space_group_name_Hall 'R 3 -2"'
_cell_length_a 4.4324
_cell_length_b 4.4324
_cell_length_c 20.9697
_cell_angle_alpha 90.00
_cell_angle_beta 90.00
_cell_angle_gamma 120.00
loop_
_atom_site_label
_atom_site_type_symbol
_atom_site_fract_x
_atom_site_fract_y
_atom_site_fract_z
La1 La 0.0000 0.0000 0.0000
As1 As 0.0000 0.0000 0.4115
As2 As 0.0000 0.0000 0.5860
Pb1 Pb 0.0000 0.0000 0.1731
```

Output
Size of the total moment   0.00 μB per cell
DFT formation energy   -0.592 eV per atom
E above lowest polymorph   100.8 meV/atom
DFT total energy   -5.0761 eV/atom



(4)
# Si2SbAsI

Si2SbAsI after structural relaxation (PBE-GGA, Alexandria via LeMat-Bulk).

Cell and atoms, written as CIF:
```
data_Si2SbAsI
_space_group_name_H-M_alt 'P 4/m m m'
_space_group_IT_number 123
_space_group_name_Hall '-P 4 2'
_cell_length_a 5.3052
_cell_length_b 5.3052
_cell_length_c 5.3335
_cell_angle_alpha 90.00
_cell_angle_beta 90.00
_cell_angle_gamma 90.00
loop_
_atom_site_label
_atom_site_type_symbol
_atom_site_fract_x
_atom_site_fract_y
_atom_site_fract_z
Si1 Si 0.0000 0.5000 0.0000
Sb1 Sb 0.0000 0.0000 0.5000
As1 As 0.5000 0.5000 0.5000
I1 I 0.5000 0.5000 0.0000
```

Output
Size of the total moment   0.00 μB per cell
Energy relative to the elements, uncorrected   7.2 eV/f.u.
DFT total energy   -2.8003 eV/atom



Among the records above, which one has the lowest DFT total energy?
LaAs2Pb



Look up the DFT total energy of the second one.
-3.6654 eV/atom



What is the formula in the first record?
RbRh